(1)
Compound: Y2FeC2
Source: Alexandria via LeMat-Bulk
Functional: GGA-PBE
Structure: relaxed

Structure (POSCAR):
```
Y2FeC2
1.0
-1.7211 1.7211 7.5170
1.7211 -1.7211 7.5170
1.7211 1.7211 -7.5170
Y Fe C
2 1 2
Direct
0.1392 0.1392 0.0000
0.8608 0.8608 0.0000
0.5000 0.5000 0.0000
0.2500 0.7500 0.5000
0.7500 0.2500 0.5000
```

Properties
Mass density   4804 kg/m³
Crystal system   tetragonal

---

(2)
Compound: Y2FeC2
Source: Alexandria via LeMat-Bulk
Functional: GGA-PBE
Structure: relaxed

Structure (POSCAR):
```
Y2FeC2
1.0
6.2316 0.0000 0.0000
0.0000 5.0498 0.0000
0.0000 0.0000 9.7534
Y Fe C
8 4 8
Direct
0.0187 0.2500 0.2190
0.1878 0.2500 0.5537
0.3122 0.7500 0.0537
0.4813 0.7500 0.7190
0.5187 0.2500 0.2810
0.6878 0.2500 0.9463
0.8122 0.7500 0.4463
0.9813 0.7500 0.7810
0.2318 0.2500 0.8542
0.2682 0.7500 0.3542
0.7318 0.2500 0.6458
0.7682 0.7500 0.1458
0.0315 0.7500 0.2402
0.1959 0.7500 0.5364
0.3041 0.2500 0.0364
0.4685 0.2500 0.7402
0.5315 0.7500 0.2598
0.6959 0.7500 0.9636
0.8041 0.2500 0.4636
0.9685 0.2500 0.7598
```

Properties
Mass density   5576 kg/m³
Crystal system   orthorhombic

---

Which structure wins on stability? (2) wins.